Entry 1:
{"formula": "AcNiTe", "functional": "PBE-GGA", "state": "relaxed", "lattice_angstrom": [[4.3976, 0.0000, 0.0000], [-2.1988, 3.8085, 0.0000], [0.0000, 0.0000, 4.5807]], "species": ["Ac", "Ni", "Te"], "frac_coords": [[0.0000, 0.0000, 0.0000], [0.3333, 0.6667, 0.5000], [0.6667, 0.3333, 0.5000]], "dft_energy_ev_per_atom": -5.22, "magmom_total_mub_per_fu": 0.00, "relative_energy_ev_per_atom": 0.0000}

---

Entry 2:
{"formula": "CaMo2Br", "functional": "PBE-GGA", "state": "relaxed", "lattice_angstrom": [[3.2921, 0.0000, 0.0000], [0.0000, 4.2617, 0.0000], [0.0000, 0.0000, 5.8919]], "species": ["Ca", "Mo", "Mo", "Br"], "frac_coords": [[0.0000, 0.0000, 0.0000], [0.0000, 0.5000, 0.5000], [0.5000, 0.0000, 0.5000], [0.5000, 0.5000, 0.0000]], "dft_energy_ev_per_atom": -5.83, "magmom_total_mub_per_fu": 0.00, "relative_energy_ev_per_atom": 0.4899}

---

Entry 3:
{"formula": "TiIr2Rh2", "functional": "PBE-GGA", "state": "relaxed", "lattice_angstrom": [[6.5038, 0.0000, 0.0000], [0.0000, 6.5038, 0.0000], [0.0000, 0.0000, 3.7149]], "species": ["Ti", "Ti", "Ir", "Ir", "Ir", "Ir", "Rh", "Rh", "Rh", "Rh"], "frac_coords": [[0.0000, 0.0000, 0.0000], [0.5000, 0.5000, 0.0000], [0.1366, 0.3634, 0.0000], [0.3634, 0.8634, 0.0000], [0.6366, 0.1366, 0.0000], [0.8634, 0.6366, 0.0000], [0.1596, 0.6596, 0.5000], [0.3404, 0.1596, 0.5000], [0.6596, 0.8404, 0.5000], [0.8404, 0.3404, 0.5000]], "formation_energy_ev_per_atom": -0.151, "dft_energy_ev_per_atom": -8.22, "magmom_total_mub_per_fu": 0.00}

---

Entry 4:
{"formula": "RbLi2U3Te6", "functional": "PBE-GGA", "state": "relaxed", "lattice_angstrom": [[10.5809, -2.1992, 0.0000], [10.5809, 2.1992, 0.0000], [-4.1211, 0.0000, 9.3623]], "species": ["Rb", "Li", "Li", "U", "U", "U", "Te", "Te", "Te", "Te", "Te", "Te"], "frac_coords": [[0.0000, 0.0000, 0.0000], [0.3659, 0.3659, 0.5587], [0.6341, 0.6341, 0.4413], [0.0000, 0.0000, 0.5000], [0.3335, 0.3335, 0.1648], [0.6665, 0.6665, 0.8352], [0.1639, 0.1639, 0.6125], [0.1756, 0.1756, 0.0559], [0.4951, 0.4951, 0.2779], [0.5049, 0.5049, 0.7221], [0.8244, 0.8244, 0.9441], [0.8361, 0.8361, 0.3875]], "dft_energy_ev_per_atom": -5.53, "magmom_total_mub_per_fu": 9.00}

---

What did the third record say?
{"formula": "TiIr2Rh2", "functional": "PBE-GGA", "state": "relaxed", "lattice_angstrom": [[6.5038, 0.0000, 0.0000], [0.0000, 6.5038, 0.0000], [0.0000, 0.0000, 3.7149]], "species": ["Ti", "Ti", "Ir", "Ir", "Ir", "Ir", "Rh", "Rh", "Rh", "Rh"], "frac_coords": [[0.0000, 0.0000, 0.0000], [0.5000, 0.5000, 0.0000], [0.1366, 0.3634, 0.0000], [0.3634, 0.8634, 0.0000], [0.6366, 0.1366, 0.0000], [0.8634, 0.6366, 0.0000], [0.1596, 0.6596, 0.5000], [0.3404, 0.1596, 0.5000], [0.6596, 0.8404, 0.5000], [0.8404, 0.3404, 0.5000]], "formation_energy_ev_per_atom": -0.151, "dft_energy_ev_per_atom": -8.22, "magmom_total_mub_per_fu": 0.00}